Here is an optimized crystal structure of LaPm6Dy4 from Alexandria. Energies are from GGA-PBE.

Lattice parameters (Å, degrees): 11.1415 11.1415 3.5901 90.00 90.00 120.00
Space group P-6m2 (No. 187)
One atom of each set of equivalent atoms:
La1 0.0000 0.0000 0.0000 (multiplicity 1)
Pm1 0.1822 0.3645 0.5000 (multiplicity 3)
Pm2 0.5190 0.0380 0.0000 (multiplicity 3)
Dy1 0.3304 0.1652 0.5000 (multiplicity 3)
Dy2 0.3333 0.6667 0.0000 (multiplicity 1)

energy of formation from the pure elements: 15 kJ/mol of atoms
Fermi-level density of states: 15.22 states/eV/cell
final energy: -4.556 eV per atom